# 1
Here is crystalline Cu8Si2Au at its relaxed geometry from Alexandria. Energies are from GGA-PBE.

Cell: 6.434 6.434 4.404 Å, 102.27 102.27 117.51°
Fractional coordinates of all 11 atoms:
Cu (0.090, 0.322, 0.624)
Cu (0.235, 0.765, 0.000)
Cu (0.322, 0.090, 0.624)
Cu (0.418, 0.418, 0.199)
Cu (0.582, 0.582, 0.801)
Cu (0.678, 0.910, 0.376)
Cu (0.765, 0.235, 0.000)
Cu (0.910, 0.678, 0.376)
Si (0.307, 0.693, 0.500)
Si (0.693, 0.307, 0.500)
Au (0.000, 0.000, 0.000)

Calculated values
D(E_F), states/eV/atom: 0.397
Energy relative to the elements, uncorrected, eV/atom: 0.05
Space-group type: C2/m, No. 12
Magnetization, Bohr magnetons per cell: 0.00
Excess energy over the best structure of this formula in the dataset, meV/atom: 57

=====

# 2
Here is crystalline Mg2TaP at its relaxed geometry from Alexandria. Energies are from GGA-PBE.

Cell: 6.496 6.496 6.496 Å, 90.00 90.00 90.00°
Fractional coordinates of all 16 atoms:
Mg (0.000, 0.000, 0.000)
Mg (0.000, 0.500, 0.500)
Mg (0.250, 0.250, 0.250)
Mg (0.250, 0.750, 0.750)
Mg (0.500, 0.000, 0.500)
Mg (0.500, 0.500, 0.000)
Mg (0.750, 0.250, 0.750)
Mg (0.750, 0.750, 0.250)
Ta (0.000, 0.000, 0.500)
Ta (0.000, 0.500, 0.000)
Ta (0.500, 0.000, 0.000)
Ta (0.500, 0.500, 0.500)
P (0.250, 0.250, 0.750)
P (0.250, 0.750, 0.250)
P (0.750, 0.250, 0.250)
P (0.750, 0.750, 0.750)

Calculated values
Formation enthalpy at 0 K, eV/f.u.: 1.43
D(E_F), states/eV/atom: 0.712
Space-group type: F-43m, No. 216
Magnetization, Bohr magnetons per cell: 0.00

=====

# 3
Here is crystalline TlZnTe at its relaxed geometry from Alexandria. Energies are from GGA-PBE.

Cell: 4.331 6.391 12.733 Å, 90.00 90.00 90.00°
Fractional coordinates of all 12 atoms:
Tl (0.000, 0.000, 0.000)
Tl (0.000, 0.500, 0.500)
Tl (0.500, 0.000, 0.500)
Tl (0.500, 0.500, 0.000)
Zn (0.000, 0.000, 0.664)
Zn (0.000, 0.500, 0.164)
Zn (0.500, 0.000, 0.164)
Zn (0.500, 0.500, 0.664)
Te (0.000, 0.000, 0.283)
Te (0.000, 0.500, 0.783)
Te (0.500, 0.000, 0.783)
Te (0.500, 0.500, 0.283)

Calculated values
D(E_F), states/eV/atom: 0.511
Energy relative to the elements, uncorrected, eV/atom: 0.03
Space-group type: Fmm2, No. 42
Magnetization, Bohr magnetons per cell: 0.00
Excess energy over the best structure of this formula in the dataset, meV/atom: 194

=====

- magnetization of number 2 (Mg2TaP)?
  0.00 Bohr magnetons per cell

=====

Repeat the third record exactly.
Here is crystalline TlZnTe at its relaxed geometry from Alexandria. Energies are from GGA-PBE.

Cell: 4.331 6.391 12.733 Å, 90.00 90.00 90.00°
Fractional coordinates of all 12 atoms:
Tl (0.000, 0.000, 0.000)
Tl (0.000, 0.500, 0.500)
Tl (0.500, 0.000, 0.500)
Tl (0.500, 0.500, 0.000)
Zn (0.000, 0.000, 0.664)
Zn (0.000, 0.500, 0.164)
Zn (0.500, 0.000, 0.164)
Zn (0.500, 0.500, 0.664)
Te (0.000, 0.000, 0.283)
Te (0.000, 0.500, 0.783)
Te (0.500, 0.000, 0.783)
Te (0.500, 0.500, 0.283)

Calculated values
D(E_F), states/eV/atom: 0.511
Energy relative to the elements, uncorrected, eV/atom: 0.03
Space-group type: Fmm2, No. 42
Magnetization, Bohr magnetons per cell: 0.00
Excess energy over the best structure of this formula in the dataset, meV/atom: 194